[1]
Here is a relaxed structure of Ce2Np2Se7 from Alexandria via LeMat-Bulk. Energies are from GGA-PBE.

Density of states at the Fermi level, states/eV/cell: 25.3
Size of the total moment, μB per atom: 0.085
Total DFT energy (no corrections), eV per atom: -7.066

Cell: 4.1349 8.9031 8.9031 Å, 61.46 76.57 76.57°
Each line ends with the local moment (μB).
Sites, in units of the cell vectors:
Np: 0.0000 0.7853 0.2147  3.59
Se: 0.5000 0.0096 0.9904  -0.05
Ce: 0.2581 0.3290 0.1547  0.56
Se: 0.1346 0.1450 0.5858  0.04
Se: 0.8654 0.4142 0.8550  0.04
Se: 0.1832 0.7055 0.9281  -0.05
Se: 0.8168 0.0719 0.2945  -0.05
Se: 0.3920 0.7176 0.4985  -0.03
Se: 0.6080 0.5015 0.2824  -0.03
Np: 0.5000 0.3290 0.6710  -3.67
Ce: 0.7419 0.8453 0.6710  0.56

---

[2]
Here is a relaxed structure of Sm7Ge2Sb2 from Alexandria via LeMat-Bulk. Energies are from GGA-PBE.

Density of states at the Fermi level, states/eV/cell: 12.0
Size of the total moment, μB per atom: 0.000
Total DFT energy (no corrections), eV per atom: -5.125

Cell: 7.2019 6.7858 7.2019 Å, 90.00 100.42 90.00°
Sites, in units of the cell vectors:
Ge: 0.2723 0.0000 0.7277
Sm: 0.5000 0.2465 0.5000
Sm: 0.0000 0.7374 0.5000
Ge: 0.7277 0.0000 0.2723
Sb: 0.8012 0.5000 0.8012
Sm: 0.0000 0.2626 0.5000
Sm: 0.5000 0.7374 0.0000
Sm: 0.0000 0.0000 0.0000
Sm: 0.5000 0.2626 0.0000
Sm: 0.5000 0.7535 0.5000
Sb: 0.1988 0.5000 0.1988

---

[3]
Here is a relaxed structure of Li5PmAu7 from Alexandria via LeMat-Bulk. Energies are from GGA-PBE.

Density of states at the Fermi level, states/eV/cell: 4.1
Size of the total moment, μB per atom: 0.000
Energy of formation from the pure elements, meV/atom: -516
Total DFT energy (no corrections), eV per atom: -3.382

Cell: 5.3195 7.0261 7.0261 Å, 82.13 67.76 67.76°
Sites, in units of the cell vectors:
Au: 0.3265 0.6735 0.6735
Li: 0.4993 0.0005 0.4945
Li: 0.0057 0.0005 0.4945
Li: 0.4993 0.4945 0.0005
Au: 0.9937 0.3471 0.6654
Au: 0.6535 0.3465 0.3465
Li: 0.0057 0.4945 0.0005
Au: 0.5104 0.1996 0.7796
Au: 0.5104 0.7796 0.1996
Au: 0.9937 0.6654 0.3471
Li: 0.7329 0.7671 0.7671
Pm: 0.9900 0.0100 0.0100
Au: 0.2788 0.2212 0.2212

---

[4]
Here is a relaxed structure of Pm6Si2Au from Alexandria via LeMat-Bulk. Energies are from GGA-PBE.

Density of states at the Fermi level, states/eV/cell: 22.3
Size of the total moment, μB per atom: 0.000
Total DFT energy (no corrections), eV per atom: -5.138

Cell: 6.5604 8.0573 9.8943 Å, 90.00 88.48 90.00°
Sites, in units of the cell vectors:
Au: 0.0000 0.0000 0.5000
Pm: 0.8483 0.6579 0.5584
Si: 0.9285 0.3801 0.7542
Pm: 0.3483 0.8421 0.0584
Pm: 0.8399 0.9484 0.2324
Si: 0.0715 0.6199 0.2458
Pm: 0.6264 0.1924 0.5661
Pm: 0.6601 0.4484 0.2676
Si: 0.4285 0.1199 0.2542
Pm: 0.3736 0.8076 0.4339
Pm: 0.3399 0.5516 0.7324
Pm: 0.1517 0.3421 0.4416
Pm: 0.6517 0.1579 0.9416
Si: 0.5715 0.8801 0.7458
Au: 0.5000 0.5000 0.0000
Pm: 0.1601 0.0516 0.7676
Pm: 0.8736 0.6924 0.9339
Pm: 0.1264 0.3076 0.0661

---

> Look up the size of the total moment of the first one.

0.085 μB per atom

---

> Number 3 is which compound?

Li5PmAu7